This record from Alexandria via LeMat-Bulk describes crystalline PmSc2Cu9 at its relaxed geometry. The functional is PBE.

Density of states at the Fermi level, states/eV per atom: 0.772
Total energy, eV/atom: -4.73
E_form, meV/atom: -204

The structure in extended XYZ format:
```
12
Lattice="2.5624 1.4794 8.0772 -2.5624 1.4794 8.0772 0.0000 -2.9587 8.0772" Properties=species:S:1:pos:R:3 pbc="T T T"
Pm 0.0000 0.0000 0.0000
Sc 0.0000 0.0000 3.5381
Sc 0.0000 0.0000 20.6936
Cu -1.2901 -0.7449 10.1370
Cu 0.0000 0.0000 8.0659
Cu 0.0000 -1.4897 14.0948
Cu -1.2901 0.7449 14.0948
Cu 0.0000 0.0000 12.1159
Cu 1.2901 -0.7449 10.1370
Cu 0.0000 1.4897 10.1370
Cu 0.0000 0.0000 16.1658
Cu 1.2901 0.7449 14.0948
```


This record from Alexandria via LeMat-Bulk describes crystalline PmPr8Er2 at its relaxed geometry. The functional is PBE.

Density of states at the Fermi level, states/eV per atom: 1.432
Total energy, eV/atom: -4.63
E_form, meV/atom: 105
Offset from the most stable computed form, meV per atom: 0

The structure in extended XYZ format:
```
11
Lattice="-2.8758 4.1931 8.0975 2.8758 -4.1931 8.0975 2.8758 4.1931 -8.0975" Properties=species:S:1:pos:R:3 pbc="T T T"
Pm 0.0000 0.0000 0.0000
Pr 2.8758 -1.7089 5.8643
Pr 2.8758 0.0000 2.6448
Pr 2.8758 2.4675 0.0000
Pr 0.0000 2.4842 2.2332
Pr 2.8758 1.7089 5.8643
Pr 0.0000 1.7256 8.0975
Pr 0.0000 4.1931 5.4527
Pr 0.0000 5.9019 2.2332
Er 0.0000 0.0000 4.8569
Er 0.0000 0.0000 11.3381
```


> Number 1 is which compound?

PmSc2Cu9